#a
Material: HgSbSe2Br
Method: DFT, PBE-GGA
State: optimized geometry

```
data_HgSbSe2Br
_chemical_formula_sum 'Hg2 Sb2 Se4 Br2'
_cell_length_a 6.561
_cell_length_b 5.718
_cell_length_c 9.161
_cell_angle_alpha 90.00
_cell_angle_beta 96.91
_cell_angle_gamma 90.00
_space_group_name_H-M_alt 'P 1 21/m 1'
_space_group_IT_number 11
loop_
_space_group_symop_operation_xyz
'x,y,z'
'-x,-y,-z'
'-x,y+1/2,-z'
'x,-y+1/2,z'
loop_
_atom_site_label
_atom_site_type_symbol
_atom_site_fract_x
_atom_site_fract_y
_atom_site_fract_z
Hg1 Hg 0.223 0.250 0.475
Sb1 Sb 0.163 0.250 0.911
Se1 Se 0.048 0.750 0.352
Se2 Se 0.176 0.750 0.972
Br1 Br 0.487 0.750 0.684
```

#b
Material: HgSbSe2Br
Method: DFT, PBE-GGA
State: optimized geometry

```
data_HgSbSe2Br
_chemical_formula_sum 'Hg1 Sb1 Se2 Br1'
_cell_length_a 5.344
_cell_length_b 5.344
_cell_length_c 5.604
_cell_angle_alpha 90.00
_cell_angle_beta 90.00
_cell_angle_gamma 90.00
_space_group_name_H-M_alt 'P 4/m m m'
_space_group_IT_number 123
_space_group_name_Hall '-P 4 2'
loop_
_atom_site_label
_atom_site_type_symbol
_atom_site_fract_x
_atom_site_fract_y
_atom_site_fract_z
Hg1 Hg 0.000 0.000 0.000
Sb1 Sb 0.500 0.500 0.500
Se1 Se 0.000 0.500 0.500
Br1 Br 0.500 0.500 0.000
```

Which is most stable? The ranking, best first, is #a, #b.

#a
Material: HgSb2TeBr
Method: DFT, PBE-GGA
State: optimized geometry

```
data_HgSb2TeBr
_chemical_formula_sum 'Hg1 Sb2 Te1 Br1'
_cell_length_a 5.575
_cell_length_b 5.575
_cell_length_c 5.850
_cell_angle_alpha 90.00
_cell_angle_beta 90.00
_cell_angle_gamma 90.00
_space_group_name_H-M_alt 'P 4/m m m'
_space_group_IT_number 123
_space_group_name_Hall '-P 4 2'
loop_
_atom_site_label
_atom_site_type_symbol
_atom_site_fract_x
_atom_site_fract_y
_atom_site_fract_z
Hg1 Hg 0.000 0.000 0.000
Sb1 Sb 0.000 0.500 0.500
Te1 Te 0.500 0.500 0.000
Br1 Br 0.500 0.500 0.500
```

#b
Material: HgSb2TeBr
Method: DFT, PBE-GGA
State: optimized geometry

```
data_HgSb2TeBr
_chemical_formula_sum 'Hg1 Sb2 Te1 Br1'
_cell_length_a 5.664
_cell_length_b 5.664
_cell_length_c 5.573
_cell_angle_alpha 90.00
_cell_angle_beta 90.00
_cell_angle_gamma 90.00
_space_group_name_H-M_alt 'P 4/m m m'
_space_group_IT_number 123
_space_group_name_Hall '-P 4 2'
loop_
_atom_site_label
_atom_site_type_symbol
_atom_site_fract_x
_atom_site_fract_y
_atom_site_fract_z
Hg1 Hg 0.000 0.000 0.000
Sb1 Sb 0.000 0.500 0.000
Te1 Te 0.000 0.000 0.500
Br1 Br 0.500 0.500 0.500
```

Which is most stable? The ranking, best first, is #b, #a.

#a
Material: HgSbTe2Br
Method: DFT, PBE-GGA
State: optimized geometry

```
data_HgSbTe2Br
_chemical_formula_sum 'Hg1 Sb1 Te2 Br1'
_cell_length_a 5.734
_cell_length_b 5.734
_cell_length_c 5.646
_cell_angle_alpha 90.00
_cell_angle_beta 90.00
_cell_angle_gamma 90.00
_space_group_name_H-M_alt 'P 4/m m m'
_space_group_IT_number 123
_space_group_name_Hall '-P 4 2'
loop_
_atom_site_label
_atom_site_type_symbol
_atom_site_fract_x
_atom_site_fract_y
_atom_site_fract_z
Hg1 Hg 0.000 0.000 0.000
Sb1 Sb 0.500 0.500 0.000
Te1 Te 0.000 0.500 0.500
Br1 Br 0.500 0.500 0.500
```

#b
Material: HgSbTe2Br
Method: DFT, PBE-GGA
State: optimized geometry

```
data_HgSbTe2Br
_chemical_formula_sum 'Hg1 Sb1 Te2 Br1'
_cell_length_a 5.586
_cell_length_b 5.586
_cell_length_c 5.767
_cell_angle_alpha 90.00
_cell_angle_beta 90.00
_cell_angle_gamma 90.00
_space_group_name_H-M_alt 'P 4/m m m'
_space_group_IT_number 123
_space_group_name_Hall '-P 4 2'
loop_
_atom_site_label
_atom_site_type_symbol
_atom_site_fract_x
_atom_site_fract_y
_atom_site_fract_z
Hg1 Hg 0.000 0.000 0.000
Sb1 Sb 0.000 0.000 0.500
Te1 Te 0.000 0.500 0.000
Br1 Br 0.500 0.500 0.500
```

Which is most stable? The ranking, best first, is #b, #a.

#a
Material: ScHgBr2
Method: DFT, PBE-GGA
State: optimized geometry

```
data_ScHgBr2
_chemical_formula_sum 'Sc3 Hg3 Br6'
_cell_length_a 3.9822
_cell_length_b 3.9822
_cell_length_c 35.5427
_cell_angle_alpha 90.00
_cell_angle_beta 90.00
_cell_angle_gamma 120.00
_space_group_name_H-M_alt 'R -3 m'
_space_group_IT_number 166
_space_group_name_Hall '-R 3 2"'
loop_
_atom_site_label
_atom_site_type_symbol
_atom_site_fract_x
_atom_site_fract_y
_atom_site_fract_z
Sc1 Sc 0.0000 0.0000 0.0000
Hg1 Hg 0.0000 0.0000 0.5000
Br1 Br 0.0000 0.0000 0.0682
```

#b
Material: ScHgBr2
Method: DFT, PBE-GGA
State: optimized geometry

```
data_ScHgBr2
_chemical_formula_sum 'Sc1 Hg1 Br2'
_cell_length_a 3.781
_cell_length_b 3.764
_cell_length_c 10.394
_cell_angle_alpha 90.00
_cell_angle_beta 90.59
_cell_angle_gamma 90.00
_space_group_name_H-M_alt 'P 1 2/m 1'
_space_group_IT_number 10
loop_
_space_group_symop_operation_xyz
'x,y,z'
'-x,-y,-z'
'-x,y,-z'
'x,-y,z'
loop_
_atom_site_label
_atom_site_type_symbol
_atom_site_fract_x
_atom_site_fract_y
_atom_site_fract_z
Sc1 Sc 0.000 0.000 0.000
Hg1 Hg 0.500 0.000 0.500
Br1 Br 0.001 0.500 0.822
```

Which is most stable? The ranking, best first, is #b, #a.

#a
Material: ScHgBr2
Method: DFT, PBE-GGA
State: optimized geometry

```
data_ScHgBr2
_chemical_formula_sum 'Sc1 Hg1 Br2'
_cell_length_a 3.400
_cell_length_b 3.400
_cell_length_c 10.066
_cell_angle_alpha 90.00
_cell_angle_beta 90.00
_cell_angle_gamma 90.00
_space_group_name_H-M_alt 'P 4/m m m'
_space_group_IT_number 123
_space_group_name_Hall '-P 4 2'
loop_
_atom_site_label
_atom_site_type_symbol
_atom_site_fract_x
_atom_site_fract_y
_atom_site_fract_z
Sc1 Sc 0.000 0.000 0.000
Hg1 Hg 0.000 0.000 0.500
Br1 Br 0.500 0.500 0.163
```

#b
Material: ScHgBr2
Method: DFT, PBE-GGA
State: optimized geometry

```
data_ScHgBr2
_chemical_formula_sum 'Sc2 Hg2 Br4'
_cell_length_a 3.369
_cell_length_b 4.727
_cell_length_c 15.130
_cell_angle_alpha 90.00
_cell_angle_beta 90.00
_cell_angle_gamma 90.00
_space_group_name_H-M_alt 'I m m 2'
_space_group_IT_number 44
loop_
_space_group_symop_operation_xyz
'x,y,z'
'-x,-y,z'
'-x,y,z'
'x,-y,z'
'x+1/2,y+1/2,z+1/2'
'-x+1/2,-y+1/2,z+1/2'
'-x+1/2,y+1/2,z+1/2'
'x+1/2,-y+1/2,z+1/2'
loop_
_atom_site_label
_atom_site_type_symbol
_atom_site_fract_x
_atom_site_fract_y
_atom_site_fract_z
Sc1 Sc 0.000 0.000 0.000
Hg1 Hg 0.000 0.500 0.310
Br1 Br 0.000 0.000 0.466
Br2 Br 0.000 0.500 0.639
```

Which is most stable? The ranking, best first, is #a, #b.

#a
Material: ScHg3Br
Method: DFT, PBE-GGA
State: optimized geometry

```
data_ScHg3Br
_chemical_formula_sum 'Sc1 Hg3 Br1'
_cell_length_a 5.709
_cell_length_b 5.709
_cell_length_c 5.709
_cell_angle_alpha 90.00
_cell_angle_beta 90.00
_cell_angle_gamma 90.00
_space_group_name_H-M_alt 'P m -3 m'
_space_group_IT_number 221
_space_group_name_Hall '-P 4 2 3'
loop_
_atom_site_label
_atom_site_type_symbol
_atom_site_fract_x
_atom_site_fract_y
_atom_site_fract_z
Sc1 Sc 0.000 0.000 0.000
Hg1 Hg 0.000 0.000 0.500
Br1 Br 0.500 0.500 0.500
```

#b
Material: ScHg3Br
Method: DFT, PBE-GGA
State: optimized geometry

```
data_ScHg3Br
_chemical_formula_sum 'Sc1 Hg3 Br1'
_cell_length_a 5.724
_cell_length_b 5.724
_cell_length_c 5.724
_cell_angle_alpha 90.00
_cell_angle_beta 90.00
_cell_angle_gamma 90.00
_space_group_name_H-M_alt 'P m -3 m'
_space_group_IT_number 221
_space_group_name_Hall '-P 4 2 3'
loop_
_atom_site_label
_atom_site_type_symbol
_atom_site_fract_x
_atom_site_fract_y
_atom_site_fract_z
Sc1 Sc 0.000 0.000 0.000
Hg1 Hg 0.000 0.500 0.500
Br1 Br 0.500 0.500 0.500
```

Which is most stable? The ranking, best first, is #a, #b.

#a
Material: ScHgSe2Br
Method: DFT, PBE-GGA
State: optimized geometry

```
data_ScHgSe2Br
_chemical_formula_sum 'Sc1 Hg1 Se2 Br1'
_cell_length_a 5.255
_cell_length_b 5.255
_cell_length_c 5.224
_cell_angle_alpha 90.00
_cell_angle_beta 90.00
_cell_angle_gamma 90.00
_space_group_name_H-M_alt 'P 4/m m m'
_space_group_IT_number 123
_space_group_name_Hall '-P 4 2'
loop_
_atom_site_label
_atom_site_type_symbol
_atom_site_fract_x
_atom_site_fract_y
_atom_site_fract_z
Sc1 Sc 0.000 0.000 0.000
Hg1 Hg 0.500 0.500 0.500
Se1 Se 0.000 0.500 0.000
Br1 Br 0.000 0.000 0.500
```

#b
Material: ScHgSe2Br
Method: DFT, PBE-GGA
State: optimized geometry

```
data_ScHgSe2Br
_chemical_formula_sum 'Sc1 Hg1 Se2 Br1'
_cell_length_a 5.227
_cell_length_b 5.227
_cell_length_c 5.393
_cell_angle_alpha 90.00
_cell_angle_beta 90.00
_cell_angle_gamma 90.00
_space_group_name_H-M_alt 'P 4/m m m'
_space_group_IT_number 123
_space_group_name_Hall '-P 4 2'
loop_
_atom_site_label
_atom_site_type_symbol
_atom_site_fract_x
_atom_site_fract_y
_atom_site_fract_z
Sc1 Sc 0.000 0.000 0.000
Hg1 Hg 0.500 0.500 0.500
Se1 Se 0.000 0.500 0.500
Br1 Br 0.500 0.500 0.000
```

Which is most stable? The ranking, best first, is #a, #b.